Entry 1:
DFT (PBE) results for a relaxed TiCuAs2 crystal.

Results
* DOS at the Fermi energy: 8.24 states/eV/cell
* raw total energy: -5.424 eV/atom
* space group: I-42d, No. 122

Cell: 5.641 5.641 5.641 Å, 105.88 105.88 116.92°
Positions (direct):
Ti (0.000, 0.000, 0.000)
Ti (0.750, 0.250, 0.500)
Cu (0.250, 0.750, 0.500)
Cu (0.500, 0.500, 0.000)
As (0.148, 0.625, 0.023)
As (0.375, 0.398, 0.523)
As (0.602, 0.125, 0.977)
As (0.875, 0.852, 0.477)

=====

Entry 2:
DFT (PBE) results for a relaxed Li2MgRhF8 crystal.

Results
* DOS at the Fermi energy: 5.71 states/eV/cell
* ΔE_f (raw): -2485 meV per atom
* space group: Cmmm, No. 65

Cell: 4.729 4.729 6.257 Å, 90.00 90.00 93.06°
Positions (direct):
Li (0.000, 0.000, 0.223)
Li (0.000, 0.000, 0.777)
Mg (0.500, 0.500, 0.000)
Rh (0.500, 0.500, 0.500)
F (0.204, 0.204, 0.500)
F (0.205, 0.205, 0.000)
F (0.311, 0.689, 0.263)
F (0.311, 0.689, 0.737)
F (0.689, 0.311, 0.263)
F (0.689, 0.311, 0.737)
F (0.795, 0.795, 0.000)
F (0.796, 0.796, 0.500)

=====

Entry 3:
DFT (PBE) results for a relaxed AlInTcO6 crystal.

Results
* DOS at the Fermi energy: 5.60 states/eV/cell
* ΔE_f (raw): -1782 meV per atom
* space group: P-31c, No. 163

Cell: 5.036 5.036 9.252 Å, 90.00 90.00 120.00°
Positions (direct):
Al (0.333, 0.667, 0.250)
Al (0.667, 0.333, 0.750)
In (0.000, 0.000, 0.000)
In (0.000, 0.000, 0.500)
Tc (0.333, 0.667, 0.750)
Tc (0.667, 0.333, 0.250)
O (0.004, 0.362, 0.138)
O (0.004, 0.642, 0.362)
O (0.358, 0.362, 0.362)
O (0.358, 0.996, 0.138)
O (0.362, 0.004, 0.638)
O (0.362, 0.358, 0.862)
O (0.638, 0.642, 0.138)
O (0.638, 0.996, 0.362)
O (0.642, 0.004, 0.862)
O (0.642, 0.638, 0.638)
O (0.996, 0.358, 0.638)
O (0.996, 0.638, 0.862)

=====

Entry 4:
DFT (PBE) results for a relaxed TeAs3Pd crystal.

Results
* DOS at the Fermi energy: 6.56 states/eV/cell
* ΔE_f (raw): 514 meV per atom
* space group: Pm-3m, No. 221

Cell: 4.919 4.919 4.919 Å, 90.00 90.00 90.00°
Positions (direct):
Te (0.000, 0.000, 0.000)
As (0.000, 0.500, 0.500)
As (0.500, 0.000, 0.500)
As (0.500, 0.500, 0.000)
Pd (0.500, 0.500, 0.500)

=====

Entry 5:
DFT (PBE) results for a relaxed KErCuS3 crystal.

Results
* DOS at the Fermi energy: 8.60 states/eV/cell
* ΔE_f (raw): -1273 meV per atom
* space group: P2_1/m, No. 11

Cell: 8.683 3.929 9.291 Å, 90.00 107.66 90.00°
Positions (direct):
K (0.201, 0.250, 0.232)
K (0.799, 0.750, 0.768)
Er (0.329, 0.750, 0.857)
Er (0.671, 0.250, 0.143)
Cu (0.084, 0.250, 0.605)
Cu (0.916, 0.750, 0.395)
S (0.115, 0.250, 0.859)
S (0.187, 0.750, 0.540)
S (0.460, 0.750, 0.159)
S (0.540, 0.250, 0.841)
S (0.813, 0.250, 0.460)
S (0.885, 0.750, 0.141)

=====

Entry 6:
DFT (PBE) results for a relaxed TmH3Os crystal.

Results
* DOS at the Fermi energy: 3.08 states/eV/cell
* raw total energy: -5.410 eV/atom
* space group: Pm-3m, No. 221

Cell: 3.638 3.638 3.638 Å, 90.00 90.00 90.00°
Positions (direct):
Tm (0.000, 0.000, 0.000)
H (0.000, 0.500, 0.500)
H (0.500, 0.000, 0.500)
H (0.500, 0.500, 0.000)
Os (0.500, 0.500, 0.500)

=====

Entry 7:
DFT (PBE) results for a relaxed YHIrPt2 crystal.

Results
* DOS at the Fermi energy: 2.83 states/eV/cell
* raw total energy: -6.731 eV/atom
* space group: P4/mmm, No. 123

Cell: 4.176 4.176 4.108 Å, 90.00 90.00 90.00°
Positions (direct):
Y (0.000, 0.000, 0.000)
H (0.500, 0.500, 0.500)
Ir (0.500, 0.500, 0.000)
Pt (0.000, 0.500, 0.500)
Pt (0.500, 0.000, 0.500)

=====

Entry 8:
DFT (PBE) results for a relaxed BRhPb2 crystal.

Results
* DOS at the Fermi energy: 0.02 states/eV/cell
* raw total energy: -4.496 eV/atom
* space group: I-42d, No. 122

Cell: 7.001 7.001 7.001 Å, 129.99 129.99 73.42°
Positions (direct):
B (0.000, 0.000, 0.000)
B (0.750, 0.250, 0.500)
Rh (0.250, 0.750, 0.500)
Rh (0.500, 0.500, 0.000)
Pb (0.081, 0.625, 0.956)
Pb (0.375, 0.331, 0.456)
Pb (0.669, 0.125, 0.044)
Pb (0.875, 0.919, 0.544)

=====

Entry 9:
DFT (PBE) results for a relaxed Ac4IrPtSe2 crystal.

Results
* DOS at the Fermi energy: 5.83 states/eV/cell
* ΔE_f (raw): -1400 meV per atom
* space group: P2/m, No. 10

Cell: 7.528 4.352 8.105 Å, 90.00 108.02 90.00°
Positions (direct):
Ac (0.236, 0.000, 0.224)
Ac (0.253, 0.500, 0.774)
Ac (0.747, 0.500, 0.226)
Ac (0.764, 0.000, 0.776)
Ir (0.000, 0.500, 0.000)
Pt (0.500, 0.000, 0.000)
Se (0.000, 0.000, 0.500)
Se (0.500, 0.500, 0.500)

=====

Entry 10:
DFT (PBE) results for a relaxed NaAc2TlAu4 crystal.

Results
* DOS at the Fermi energy: 4.65 states/eV/cell
* raw total energy: -3.737 eV/atom
* space group: R-3m, No. 166

Cell: 9.160 9.160 9.160 Å, 33.69 33.69 33.69°
Positions (direct):
Na (0.000, 0.000, 0.000)
Ac (0.246, 0.246, 0.246)
Ac (0.754, 0.754, 0.754)
Tl (0.500, 0.500, 0.500)
Au (0.122, 0.122, 0.122)
Au (0.371, 0.371, 0.371)
Au (0.629, 0.629, 0.629)
Au (0.878, 0.878, 0.878)